Record 1
First-principles (PBE) data for CaMnSi2Pt5 after structural relaxation, as listed in Alexandria.

Output
magnetization: 4.08 μB per cell
raw formation energy: -555 kJ/mol of formula units
total DFT energy (no corrections): -57.97 eV for the cell shown

CIF file:
```
data_CaMnSi2Pt5
_cell_length_a 4.0535
_cell_length_b 4.0535
_cell_length_c 10.5110
_cell_angle_alpha 90.00
_cell_angle_beta 90.00
_cell_angle_gamma 90.00
_space_group_name_H-M_alt 'P 4/m m m'
_space_group_IT_number 123
_space_group_name_Hall '-P 4 2'
loop_
_atom_site_label
_atom_site_type_symbol
_atom_site_fract_x
_atom_site_fract_y
_atom_site_fract_z
Ca1 Ca 0.0000 0.0000 0.0000
Mn1 Mn 0.0000 0.0000 0.5000
Si1 Si 0.5000 0.5000 0.2226
Pt1 Pt 0.0000 0.5000 0.3409
Pt2 Pt 0.5000 0.5000 0.0000
```

Record 2
First-principles (PBE) data for BaLiAsSe3 after structural relaxation, as listed in Alexandria.

Output
magnetization: 0.00 μB per cell
raw formation energy: -587 kJ/mol of formula units
total DFT energy (no corrections): -100.10 eV for the cell shown

CIF file:
```
data_BaLiAsSe3
_cell_length_a 10.4973
_cell_length_b 7.9104
_cell_length_c 8.9064
_cell_angle_alpha 90.00
_cell_angle_beta 111.70
_cell_angle_gamma 90.00
_space_group_name_H-M_alt 'C 1 2/m 1'
_space_group_IT_number 12
_space_group_name_Hall '-C 2y'
loop_
_atom_site_label
_atom_site_type_symbol
_atom_site_fract_x
_atom_site_fract_y
_atom_site_fract_z
Ba1 Ba 0.2025 0.0000 0.1557
Li1 Li 0.0000 0.1896 0.5000
As1 As 0.1037 0.5000 0.1928
Se1 Se 0.0404 0.2547 0.7983
Se2 Se 0.2242 0.0000 0.5421
```

Record 3
First-principles (PBE) data for LiMn2Ni after structural relaxation, as listed in Alexandria.

Output
magnetization: 2.48 μB per cell
formation enthalpy at 0 K: 0.775 eV/f.u.
total DFT energy (no corrections): -25.26 eV for the cell shown

CIF file:
```
data_LiMn2Ni
_cell_length_a 2.4741
_cell_length_b 2.4741
_cell_length_c 7.7575
_cell_angle_alpha 90.00
_cell_angle_beta 90.00
_cell_angle_gamma 90.00
_space_group_name_H-M_alt 'P 4 m m'
_space_group_IT_number 99
_space_group_name_Hall 'P 4 -2'
loop_
_atom_site_label
_atom_site_type_symbol
_atom_site_fract_x
_atom_site_fract_y
_atom_site_fract_z
Li1 Li 0.0000 0.0000 0.0000
Mn1 Mn 0.0000 0.0000 0.5291
Mn2 Mn 0.5000 0.5000 0.2914
Ni1 Ni 0.5000 0.5000 0.7448
```

Record 4
First-principles (PBE) data for LaTb5Pm2Y after structural relaxation, as listed in Alexandria.

Output
magnetization: 0.00 μB per cell
formation enthalpy at 0 K: 2.342 eV/f.u.
total DFT energy (no corrections): -166.81 eV for the cell shown

CIF file:
```
data_LaTb5Pm2Y
_cell_length_a 8.8144
_cell_length_b 8.8144
_cell_length_c 15.5484
_cell_angle_alpha 90.00
_cell_angle_beta 90.00
_cell_angle_gamma 90.00
_space_group_name_H-M_alt 'I 4/m c m'
_space_group_IT_number 140
_space_group_name_Hall '-I 4 2c'
loop_
_atom_site_label
_atom_site_type_symbol
_atom_site_fract_x
_atom_site_fract_y
_atom_site_fract_z
La1 La 0.0000 0.0000 0.2500
Tb1 Tb 0.0000 0.0000 0.0000
Tb2 Tb 0.2091 0.2909 0.1356
Pm1 Pm 0.1164 0.3836 0.5000
Y1 Y 0.0000 0.5000 0.2500
```

Question: What is the total DFT energy (no corrections) in the first record?
Answer: -57.97 eV for the cell shown

Question: magnetization of number 1 (CaMnSi2Pt5)?
Answer: 4.08 μB per cell

Question: Number 1 is which compound?
Answer: CaMnSi2Pt5